The following is a GGA-PBE calculation of a relaxed structure of Ho3Ga4Pt4, from Alexandria.

Properties
Calculated total energy (eV/atom): -5.59
ΔE_f (meV per atom): -1046.6
Offset from the most stable computed form (meV/atom): 0

Unit cell a=8.248 b=8.248 c=8.248 alpha=151.28 beta=128.09 gamma=60.40
Fractional coordinates of all 11 atoms:
Ho: 0.000 0.000 0.000
Ho: 0.377 0.877 0.500
Ho: 0.623 0.123 0.500
Ga: 0.028 0.327 0.701
Ga: 0.375 0.673 0.701
Ga: 0.625 0.327 0.299
Ga: 0.972 0.673 0.299
Pt: 0.216 0.216 0.000
Pt: 0.300 0.500 0.800
Pt: 0.700 0.500 0.200
Pt: 0.784 0.784 0.000

---

The following is a GGA-PBE calculation of a relaxed structure of Ho3Ga7Pt4, from Alexandria.

Properties
Calculated total energy (eV/atom): -5.11
ΔE_f (meV per atom): -888.4

Unit cell a=8.191 b=8.191 c=9.339 alpha=123.83 beta=123.83 gamma=30.32
Fractional coordinates of all 14 atoms:
Ho: 0.000 0.000 0.000
Ho: 0.307 0.307 0.301
Ho: 0.693 0.693 0.699
Ga: 0.000 0.000 0.500
Ga: 0.155 0.155 0.429
Ga: 0.320 0.320 0.966
Ga: 0.500 0.500 0.292
Ga: 0.500 0.500 0.708
Ga: 0.680 0.680 0.034
Ga: 0.845 0.845 0.571
Pt: 0.123 0.123 0.849
Pt: 0.343 0.343 0.719
Pt: 0.657 0.657 0.281
Pt: 0.877 0.877 0.151

---

The following is a GGA-PBE calculation of a relaxed structure of Ho2GaPt, from Alexandria.

Properties
Calculated total energy (eV/atom): -5.52
ΔE_f (meV per atom): -962.3

Unit cell a=5.894 b=4.383 c=7.552 alpha=90.00 beta=111.08 gamma=90.00
Fractional coordinates of all 8 atoms:
Ho: 0.174 0.250 0.410
Ho: 0.271 0.750 0.068
Ho: 0.729 0.250 0.932
Ho: 0.826 0.750 0.590
Ga: 0.386 0.750 0.703
Ga: 0.614 0.250 0.297
Pt: 0.150 0.250 0.791
Pt: 0.850 0.750 0.209

---

The following is a GGA-PBE calculation of a relaxed structure of Ho5Ga3Pt12, from Alexandria.

Properties
Calculated total energy (eV/atom): -5.61
ΔE_f (meV per atom): -384.1

Unit cell a=13.375 b=13.375 c=13.375 alpha=109.47 beta=109.47 gamma=109.47
Fractional coordinates of all 80 atoms:
Ho: 0.000 0.000 0.000
Ho: 0.000 0.000 0.500
Ho: 0.000 0.500 0.000
Ho: 0.000 0.500 0.500
Ho: 0.125 0.750 0.875
Ho: 0.125 0.875 0.250
Ho: 0.250 0.125 0.875
Ho: 0.250 0.625 0.375
Ho: 0.375 0.250 0.625
Ho: 0.375 0.625 0.750
Ho: 0.500 0.000 0.000
Ho: 0.500 0.000 0.500
Ho: 0.500 0.500 0.000
Ho: 0.500 0.500 0.500
Ho: 0.625 0.375 0.250
Ho: 0.625 0.750 0.375
Ho: 0.750 0.375 0.625
Ho: 0.750 0.875 0.125
Ho: 0.875 0.125 0.750
Ho: 0.875 0.250 0.125
Ga: 0.125 0.250 0.375
Ga: 0.125 0.375 0.750
Ga: 0.250 0.375 0.125
Ga: 0.250 0.875 0.625
Ga: 0.375 0.125 0.250
Ga: 0.375 0.750 0.125
Ga: 0.625 0.250 0.875
Ga: 0.625 0.875 0.750
Ga: 0.750 0.125 0.375
Ga: 0.750 0.625 0.875
Ga: 0.875 0.625 0.250
Ga: 0.875 0.750 0.625
Pt: 0.054 0.633 0.389
Pt: 0.054 0.921 0.665
Pt: 0.079 0.244 0.133
Pt: 0.079 0.335 0.946
Pt: 0.111 0.744 0.665
Pt: 0.111 0.867 0.446
Pt: 0.133 0.079 0.244
Pt: 0.133 0.554 0.889
Pt: 0.165 0.244 0.611
Pt: 0.165 0.421 0.554
Pt: 0.244 0.133 0.079
Pt: 0.244 0.611 0.165
Pt: 0.256 0.335 0.889
Pt: 0.256 0.421 0.367
Pt: 0.335 0.889 0.256
Pt: 0.335 0.946 0.079
Pt: 0.367 0.256 0.421
Pt: 0.367 0.611 0.946
Pt: 0.389 0.054 0.633
Pt: 0.389 0.835 0.756
Pt: 0.421 0.367 0.256
Pt: 0.421 0.554 0.165
Pt: 0.446 0.111 0.867
Pt: 0.446 0.835 0.579
Pt: 0.554 0.165 0.421
Pt: 0.554 0.889 0.133
Pt: 0.579 0.446 0.835
Pt: 0.579 0.633 0.744
Pt: 0.611 0.165 0.244
Pt: 0.611 0.946 0.367
Pt: 0.633 0.389 0.054
Pt: 0.633 0.744 0.579
Pt: 0.665 0.054 0.921
Pt: 0.665 0.111 0.744
Pt: 0.744 0.579 0.633
Pt: 0.744 0.665 0.111
Pt: 0.756 0.389 0.835
Pt: 0.756 0.867 0.921
Pt: 0.835 0.579 0.446
Pt: 0.835 0.756 0.389
Pt: 0.867 0.446 0.111
Pt: 0.867 0.921 0.756
Pt: 0.889 0.133 0.554
Pt: 0.889 0.256 0.335
Pt: 0.921 0.665 0.054
Pt: 0.921 0.756 0.867
Pt: 0.946 0.079 0.335
Pt: 0.946 0.367 0.611

---

The following is a GGA-PBE calculation of a relaxed structure of HoGa2Pt6, from Alexandria.

Properties
Calculated total energy (eV/atom): -5.77
ΔE_f (meV per atom): -562.1
Offset from the most stable computed form (meV/atom): 0

Unit cell a=3.827 b=6.726 c=6.726 alpha=115.33 beta=90.00 gamma=90.00
Fractional coordinates of all 9 atoms:
Ho: 0.000 0.000 0.000
Ga: 0.500 0.166 0.421
Ga: 0.500 0.421 0.166
Pt: 0.000 0.419 0.419
Pt: 0.000 0.472 0.858
Pt: 0.000 0.858 0.472
Pt: 0.500 0.136 0.771
Pt: 0.500 0.703 0.703
Pt: 0.500 0.771 0.136

---

The following is a GGA-PBE calculation of a relaxed structure of Ho3Ga2Pt, from Alexandria.

Properties
Calculated total energy (eV/atom): -5.10
ΔE_f (meV per atom): -796.3

Unit cell a=11.704 b=4.384 c=10.994 alpha=90.00 beta=90.00 gamma=90.00
Fractional coordinates of all 24 atoms:
Ho: 0.049 0.250 0.128
Ho: 0.120 0.750 0.563
Ho: 0.224 0.250 0.809
Ho: 0.276 0.750 0.309
Ho: 0.380 0.250 0.063
Ho: 0.451 0.750 0.628
Ho: 0.549 0.250 0.372
Ho: 0.620 0.750 0.937
Ho: 0.724 0.250 0.691
Ho: 0.776 0.750 0.191
Ho: 0.880 0.250 0.437
Ho: 0.951 0.750 0.872
Ga: 0.012 0.750 0.305
Ga: 0.187 0.750 0.014
Ga: 0.313 0.250 0.514
Ga: 0.488 0.250 0.805
Ga: 0.512 0.750 0.195
Ga: 0.687 0.750 0.486
Ga: 0.813 0.250 0.986
Ga: 0.988 0.250 0.695
Pt: 0.124 0.250 0.381
Pt: 0.376 0.750 0.881
Pt: 0.624 0.250 0.119
Pt: 0.876 0.750 0.619

---

The following is a GGA-PBE calculation of a relaxed structure of Ho3Ga4Pt2, from Alexandria.

Properties
Calculated total energy (eV/atom): -5.16
ΔE_f (meV per atom): -949.4

Unit cell a=5.744 b=5.744 c=8.472 alpha=111.49 beta=111.49 gamma=44.71
Fractional coordinates of all 9 atoms:
Ho: 0.000 0.000 0.000
Ho: 0.319 0.319 0.358
Ho: 0.681 0.681 0.642
Ga: 0.017 0.017 0.357
Ga: 0.256 0.256 0.917
Ga: 0.744 0.744 0.083
Ga: 0.983 0.983 0.643
Pt: 0.400 0.400 0.732
Pt: 0.600 0.600 0.268

---

The following is a GGA-PBE calculation of a relaxed structure of HoGa2Pt4, from Alexandria.

Properties
Calculated total energy (eV/atom): -5.81
ΔE_f (meV per atom): -836.7
Offset from the most stable computed form (meV/atom): 0

Unit cell a=16.249 b=4.211 c=7.198 alpha=90.00 beta=90.00 gamma=90.00
Fractional coordinates of all 28 atoms:
Ho: 0.148 0.250 0.066
Ho: 0.352 0.750 0.566
Ho: 0.648 0.250 0.434
Ho: 0.852 0.750 0.934
Ga: 0.022 0.750 0.249
Ga: 0.192 0.250 0.622
Ga: 0.308 0.750 0.122
Ga: 0.478 0.250 0.749
Ga: 0.522 0.750 0.251
Ga: 0.692 0.250 0.878
Ga: 0.808 0.750 0.378
Ga: 0.978 0.250 0.751
Pt: 0.045 0.750 0.899
Pt: 0.055 0.250 0.443
Pt: 0.173 0.750 0.392
Pt: 0.214 0.750 0.821
Pt: 0.286 0.250 0.321
Pt: 0.327 0.250 0.892
Pt: 0.445 0.750 0.943
Pt: 0.455 0.250 0.399
Pt: 0.545 0.750 0.601
Pt: 0.555 0.250 0.057
Pt: 0.673 0.750 0.108
Pt: 0.714 0.750 0.679
Pt: 0.786 0.250 0.179
Pt: 0.827 0.250 0.608
Pt: 0.945 0.750 0.557
Pt: 0.955 0.250 0.101

---

The following is a GGA-PBE calculation of a relaxed structure of Ho3Ga7Pt2, from Alexandria.

Properties
Calculated total energy (eV/atom): -4.67
ΔE_f (meV per atom): -754.6

Unit cell a=4.228 b=4.187 c=13.423 alpha=90.00 beta=98.95 gamma=90.00
Fractional coordinates of all 12 atoms:
Ho: 0.000 0.000 0.000
Ho: 0.317 0.500 0.640
Ho: 0.683 0.500 0.360
Ga: 0.083 0.500 0.160
Ga: 0.225 0.000 0.451
Ga: 0.419 0.000 0.839
Ga: 0.500 0.500 0.000
Ga: 0.581 0.000 0.161
Ga: 0.775 0.000 0.549
Ga: 0.917 0.500 0.840
Pt: 0.132 0.000 0.265
Pt: 0.868 0.000 0.735

---

The following is a GGA-PBE calculation of a relaxed structure of Ho4Ga12Pt, from Alexandria.

Properties
Calculated total energy (eV/atom): -4.19
ΔE_f (meV per atom): -624.4

Unit cell a=7.449 b=7.449 c=7.449 alpha=109.47 beta=109.47 gamma=109.47
Fractional coordinates of all 17 atoms:
Ho: 0.000 0.000 0.500
Ho: 0.000 0.500 0.000
Ho: 0.500 0.000 0.000
Ho: 0.500 0.500 0.500
Ga: 0.000 0.297 0.297
Ga: 0.000 0.703 0.703
Ga: 0.250 0.500 0.750
Ga: 0.250 0.750 0.500
Ga: 0.297 0.000 0.297
Ga: 0.297 0.297 0.000
Ga: 0.500 0.250 0.750
Ga: 0.500 0.750 0.250
Ga: 0.703 0.000 0.703
Ga: 0.703 0.703 0.000
Ga: 0.750 0.250 0.500
Ga: 0.750 0.500 0.250
Pt: 0.000 0.000 0.000

---

The following is a GGA-PBE calculation of a relaxed structure of HoGaPt3, from Alexandria.

Properties
Calculated total energy (eV/atom): -5.76
ΔE_f (meV per atom): -616.4
Offset from the most stable computed form (meV/atom): 276

Unit cell a=5.995 b=6.576 c=5.099 alpha=90.00 beta=90.00 gamma=90.00
Fractional coordinates of all 10 atoms:
Ho: 0.000 0.000 0.000
Ho: 0.500 0.500 0.000
Ga: 0.000 0.500 0.500
Ga: 0.500 0.000 0.500
Pt: 0.000 0.500 0.000
Pt: 0.138 0.158 0.500
Pt: 0.362 0.658 0.500
Pt: 0.500 0.000 0.000
Pt: 0.638 0.342 0.500
Pt: 0.862 0.842 0.500

---

The following is a GGA-PBE calculation of a relaxed structure of Ho2GaPt6, from Alexandria.

Properties
Calculated total energy (eV/atom): -6.39
ΔE_f (meV per atom): -1005.0

Unit cell a=5.579 b=5.579 c=6.270 alpha=101.91 beta=101.91 gamma=60.42
Fractional coordinates of all 9 atoms:
Ho: 0.146 0.146 0.362
Ho: 0.854 0.854 0.638
Ga: 0.500 0.500 0.500
Pt: 0.109 0.627 0.189
Pt: 0.373 0.891 0.811
Pt: 0.377 0.377 0.807
Pt: 0.623 0.623 0.193
Pt: 0.627 0.109 0.189
Pt: 0.891 0.373 0.811

---

Please write out number 6 again, unchanged.
The following is a GGA-PBE calculation of a relaxed structure of Ho3Ga2Pt, from Alexandria.

Properties
Calculated total energy (eV/atom): -5.10
ΔE_f (meV per atom): -796.3

Unit cell a=11.704 b=4.384 c=10.994 alpha=90.00 beta=90.00 gamma=90.00
Fractional coordinates of all 24 atoms:
Ho: 0.049 0.250 0.128
Ho: 0.120 0.750 0.563
Ho: 0.224 0.250 0.809
Ho: 0.276 0.750 0.309
Ho: 0.380 0.250 0.063
Ho: 0.451 0.750 0.628
Ho: 0.549 0.250 0.372
Ho: 0.620 0.750 0.937
Ho: 0.724 0.250 0.691
Ho: 0.776 0.750 0.191
Ho: 0.880 0.250 0.437
Ho: 0.951 0.750 0.872
Ga: 0.012 0.750 0.305
Ga: 0.187 0.750 0.014
Ga: 0.313 0.250 0.514
Ga: 0.488 0.250 0.805
Ga: 0.512 0.750 0.195
Ga: 0.687 0.750 0.486
Ga: 0.813 0.250 0.986
Ga: 0.988 0.250 0.695
Pt: 0.124 0.250 0.381
Pt: 0.376 0.750 0.881
Pt: 0.624 0.250 0.119
Pt: 0.876 0.750 0.619

---

What is the ΔE_f in the fourth record? -384.1 meV per atom

---

The lowest ΔE_f belongs to which entry? Ho3Ga4Pt4

---

What is the ΔE_f in the eighth record? -836.7 meV per atom